# 1
AcCu2Ag after structural relaxation. Source: the Alexandria database, functional PBE.

```
AcCu2Ag
1.0
-1.1003 1.6164 4.0633
-4.3364 0.3753 1.1786
-1.7038 -3.9892 3.6277
Ag Cu Ac
1 2 1
direct
0.5000 0.5000 0.5000
0.7976 0.7976 0.6073
0.2024 0.2024 0.3927
0.0000 0.0000 0.0000
```

Values from the calculation:
Space group: R-3m (166)
Energy of formation (kJ/mol of formula units): -52
Raw total energy (eV for the cell shown): -15.690


# 2
Ac2CuAg3 after structural relaxation. Source: the Alexandria database, functional PBE.

```
Ac2CuAg3
1.0
6.0266 0.2509 -1.6711
-1.7249 5.7800 -1.6711
-0.1891 -0.2651 9.1588
Ac Ag Cu
4 6 2
direct
0.7500 0.2500 0.5000
0.2500 0.7500 0.5000
0.2505 0.2505 0.0000
0.7495 0.7495 0.0000
0.1713 0.1713 0.3425
0.6574 0.1712 0.8286
0.8288 0.3426 0.1714
0.3426 0.8288 0.1714
0.8287 0.8287 0.6575
0.1712 0.6574 0.8286
0.3341 0.3341 0.6681
0.6659 0.6659 0.3319
```

Values from the calculation:
Space group: Fmmm (69)
Energy of formation (kJ/mol of formula units): -155
Raw total energy (eV for the cell shown): -44.936
ΔE to the lowest computed polymorph (eV/atom): 0.0024


# 3
Ac2Cu2Ag3 after structural relaxation. Source: the Alexandria database, functional PBE.

```
Ac2Cu2Ag3
1.0
-3.3005 2.2703 0.5797
-1.4135 -2.7560 2.7459
5.4377 6.3577 6.0603
Cu Ag Ac
2 3 2
direct
0.5000 0.2858 0.5716
0.5000 0.7142 0.4284
0.5000 0.5685 0.1370
0.5000 0.4315 0.8630
0.0000 0.0000 0.0000
0.0000 0.8435 0.6871
0.0000 0.1565 0.3129
```

Values from the calculation:
Space group: Cmmm (65)
Energy of formation (kJ/mol of formula units): -73
Raw total energy (eV for the cell shown): -25.715
ΔE to the lowest computed polymorph (eV/atom): 0.0526


# 4
Ac4Cu3Ag after structural relaxation. Source: the Alexandria database, functional PBE.

```
Ac4Cu3Ag
1.0
4.2876 0.0000 0.0000
0.0000 4.7350 0.0000
0.0000 0.0000 11.4357
Cu Ac Ag
3 4 1
direct
0.5000 0.0000 0.9296
0.0000 0.0000 0.4397
0.0000 0.5000 0.5634
0.0000 0.0000 0.1449
0.0000 0.5000 0.8506
0.5000 0.0000 0.6406
0.5000 0.5000 0.3653
0.5000 0.5000 0.0659
```

Values from the calculation:
Space group: Pmm2 (25)
Energy of formation (kJ/mol of formula units): -129
Raw total energy (eV for the cell shown): -32.906


# 5
AcDyCuAg after structural relaxation. Source: the Alexandria database, functional PBE.

```
AcDyCuAg
1.0
5.2942 0.0000 0.0000
2.6471 4.5849 0.0000
2.6471 1.5283 4.3227
Dy Ac Cu Ag
1 1 1 1
direct
0.0000 0.0000 0.0000
0.5000 0.5000 0.5000
0.7500 0.7500 0.7500
0.2500 0.2500 0.2500
```

Values from the calculation:
Space group: F-43m (216)
Energy of formation (kJ/mol of formula units): -60
Raw total energy (eV for the cell shown): -16.277


# 6
AcEuCuAg after structural relaxation. Source: the Alexandria database, functional PBE.

```
AcEuCuAg
1.0
5.4003 0.0000 0.0000
2.7002 4.6768 0.0000
2.7002 1.5589 4.4094
Ag Cu Ac Eu
1 1 1 1
direct
0.7500 0.7500 0.7500
0.2500 0.2500 0.2500
0.0000 0.0000 0.0000
0.5000 0.5000 0.5000
```

Values from the calculation:
Space group: F-43m (216)
Energy of formation (kJ/mol of formula units): -66
Raw total energy (eV for the cell shown): -22.014


# 7
AcCu2AgF8 after structural relaxation. Source: the Alexandria database, functional PBE.

```
AcCu2AgF8
1.0
-5.6054 -0.0665 -1.4250
-0.6423 -5.0413 2.7619
1.9355 5.1988 3.8829
F Cu Ac Ag
8 2 1 1
direct
0.6790 0.8425 0.1023
0.0697 0.4148 0.4095
0.4232 0.2598 0.1023
0.0053 0.9303 0.5905
0.3398 0.9947 0.4095
0.7402 0.3210 0.8977
0.5852 0.6602 0.5905
0.1575 0.5768 0.8977
0.2500 0.7500 0.5000
0.5000 0.5000 0.0000
0.7500 0.2500 0.5000
0.0000 0.0000 0.0000
```

Values from the calculation:
Space group: I-4 (82)
Raw total energy (eV for the cell shown): -57.384


# 8
AcCuAg2F8 after structural relaxation. Source: the Alexandria database, functional PBE.

```
AcCuAg2F8
1.0
-2.4134 3.4727 -0.2172
-4.2411 -3.1619 1.2951
1.4672 1.6117 7.9862
Cu Ag F Ac
1 2 8 1
direct
0.0000 0.0000 0.0000
0.5367 0.4931 0.2256
0.4633 0.5069 0.7744
0.3341 0.2380 0.9688
0.0597 0.8644 0.7954
0.5003 0.7722 0.5633
0.0504 0.6442 0.3124
0.9403 0.1356 0.2046
0.4997 0.2278 0.4367
0.9496 0.3558 0.6876
0.6659 0.7620 0.0312
0.0000 0.0000 0.5000
```

Values from the calculation:
Space group: P-1 (2)
Raw total energy (eV for the cell shown): -55.300


# 9
AcGa4Cu2Ag after structural relaxation. Source: the Alexandria database, functional PBE.

```
AcGa4Cu2Ag
1.0
-3.1228 -2.9046 -0.4216
-0.1864 -2.4517 -3.5101
4.4705 -8.4059 3.0176
Ac Cu Ga Ag
1 2 4 1
direct
0.0000 0.0000 0.0000
0.7635 0.7635 0.7094
0.2365 0.2365 0.2906
0.1212 0.1212 0.6363
0.5950 0.5950 0.2149
0.4050 0.4050 0.7851
0.8788 0.8788 0.3637
0.5000 0.5000 0.5000
```

Values from the calculation:
Space group: R-3m (166)
Energy of formation (kJ/mol of formula units): -167
Raw total energy (eV for the cell shown): -28.993


# 10
AcGaCuAg after structural relaxation. Source: the Alexandria database, functional PBE.

```
AcGaCuAg
1.0
-2.9339 4.0603 0.5802
-1.1702 1.6246 4.6283
1.9692 4.3067 1.7333
Ga Ac Ag Cu
1 1 1 1
direct
0.2500 0.2500 0.2500
0.7500 0.7500 0.7500
0.0000 0.0000 0.0000
0.5000 0.5000 0.5000
```

Values from the calculation:
Space group: F-43m (216)
Energy of formation (kJ/mol of formula units): -52
Raw total energy (eV for the cell shown): -14.618


# 11
Ac2Ga4Cu3Ag after structural relaxation. Source: the Alexandria database, functional PBE.

```
Ac2Ga4Cu3Ag
1.0
4.4674 0.0000 0.0000
0.0000 4.4674 0.0000
0.0000 0.0000 10.2894
Ac Ga Cu Ag
2 4 3 1
direct
0.5000 0.0000 0.2474
0.0000 0.5000 0.7526
0.5000 0.0000 0.6347
0.0000 0.5000 0.3653
0.5000 0.5000 0.0000
0.0000 0.0000 0.0000
0.5000 0.0000 0.8765
0.0000 0.0000 0.5000
0.0000 0.5000 0.1235
0.5000 0.5000 0.5000
```

Values from the calculation:
Space group: P-4m2 (115)
Energy of formation (kJ/mol of formula units): -371
Raw total energy (eV for the cell shown): -39.311


# 12
AcGa2CuAg after structural relaxation. Source: the Alexandria database, functional PBE.

```
AcGa2CuAg
1.0
-2.2147 -1.4857 3.7138
0.4808 -4.3131 -1.4388
5.3068 2.5568 1.3731
Ag Ga Cu Ac
1 2 1 1
direct
0.7500 0.2500 0.5000
0.6247 0.6247 0.2494
0.3753 0.3753 0.7506
0.2500 0.7500 0.5000
0.0000 0.0000 0.0000
```

Values from the calculation:
Space group: I-4m2 (119)
Energy of formation (kJ/mol of formula units): -180
Raw total energy (eV for the cell shown): -18.972